(1)
{"formula": "TbNd4Cd5", "functional": "PBE-GGA", "state": "optimized geometry", "spacegroup": "P4/mmm (123)", "cell": [[3.833, 0.000, 0.000], [0.000, 3.833, 0.000], [0.000, 0.000, 19.232]], "species": ["Tb", "Nd", "Nd", "Nd", "Nd", "Cd", "Cd", "Cd", "Cd", "Cd"], "fractional_positions": [[0.000, 0.000, 0.000], [0.000, 0.000, 0.196], [0.000, 0.000, 0.399], [0.000, 0.000, 0.601], [0.000, 0.000, 0.804], [0.500, 0.500, 0.093], [0.500, 0.500, 0.298], [0.500, 0.500, 0.500], [0.500, 0.500, 0.702], [0.500, 0.500, 0.907]]}



(2)
{"formula": "BeBOs3", "functional": "PBE-GGA", "state": "optimized geometry", "spacegroup": "Pm-3m (221)", "cell": [[4.035, 0.000, 0.000], [0.000, 4.035, 0.000], [0.000, 0.000, 4.035]], "species": ["Be", "B", "Os", "Os", "Os"], "fractional_positions": [[0.000, 0.000, 0.000], [0.500, 0.500, 0.500], [0.000, 0.500, 0.500], [0.500, 0.000, 0.500], [0.500, 0.500, 0.000]]}



(3)
{"formula": "La4PrOs", "functional": "PBE-GGA", "state": "optimized geometry", "spacegroup": "P4/mmm (123)", "cell": [[4.956, 0.000, 0.000], [0.000, 4.956, 0.000], [0.000, 0.000, 8.934]], "species": ["La", "La", "La", "La", "Pr", "Os"], "fractional_positions": [[0.000, 0.500, 0.192], [0.000, 0.500, 0.808], [0.500, 0.000, 0.192], [0.500, 0.000, 0.808], [0.000, 0.000, 0.500], [0.500, 0.500, 0.000]]}



Number 1: DFT total energy -3.14 eV per atom, energy relative to the elements -0.317 eV per atom. Number 2: DFT total energy -8.27 eV per atom, energy relative to the elements 0.545 eV per atom. Number 3: DFT total energy -5.73 eV per atom, energy relative to the elements 0.223 eV per atom.